(1)
Density functional theory data (PBE) for a relaxed NaSb2TeF crystal.

Properties
Crystal system ... tetragonal
Calculated volume ... 30.6 Å³/atom
Formation energy (no corrections) ... 471 meV per atom
E above lowest polymorph ... 820.4 meV per atom
D(E_F) ... 4.3 states/eV/cell

CIF file:
```
data_NaSb2TeF
_symmetry_space_group_name_H-M 'P 1'
_symmetry_Int_Tables_number 1
_cell_length_a 5.370
_cell_length_b 5.370
_cell_length_c 5.299
_cell_angle_alpha 90.00
_cell_angle_beta 90.00
_cell_angle_gamma 90.00
loop_
_symmetry_equiv_pos_as_xyz
'x,y,z'
loop_
_atom_site_label
_atom_site_type_symbol
_atom_site_fract_x
_atom_site_fract_y
_atom_site_fract_z
Na1 Na 0.000 0.000 0.000
Sb1 Sb 0.000 0.500 0.000
Sb2 Sb 0.500 0.000 0.000
Te1 Te 0.000 0.000 0.500
F1 F 0.500 0.500 0.500
```

(2)
Density functional theory data (PBE) for a relaxed Na2TlSbF crystal.

Properties
Crystal system ... tetragonal
Calculated volume ... 23.3 Å³/atom
Formation energy (no corrections) ... -1100 meV per atom
D(E_F) ... 0.9 states/eV/cell

CIF file:
```
data_Na2TlSbF
_symmetry_space_group_name_H-M 'P 1'
_symmetry_Int_Tables_number 1
_cell_length_a 4.599
_cell_length_b 4.599
_cell_length_c 5.518
_cell_angle_alpha 90.00
_cell_angle_beta 90.00
_cell_angle_gamma 90.00
loop_
_symmetry_equiv_pos_as_xyz
'x,y,z'
loop_
_atom_site_label
_atom_site_type_symbol
_atom_site_fract_x
_atom_site_fract_y
_atom_site_fract_z
Na1 Na 0.000 0.500 0.000
Na2 Na 0.500 0.000 0.000
Tl1 Tl 0.000 0.000 0.500
Sb1 Sb 0.500 0.500 0.500
F1 F 0.000 0.000 0.000
```